(1)
{
  "formula": "ReOs",
  "functional": "GGA-PBEsol",
  "state": "relaxed",
  "delta_e_f_ev_per_atom": -0.095,
  "lattice_angstrom": [[-2.0006, -1.5585, 1.0464], [1.8346, -3.5402, -1.7653], [2.5628, -0.6399, 3.9468]],
  "species": ["Re", "Os", "Os", "Re"],
  "fractional_positions": [[0.5000, 0.7500, 0.1664], [0.0000, 0.7500, 0.6687], [0.0000, 0.2500, 0.3313], [0.5000, 0.2500, 0.8336]]
}

(2)
{
  "formula": "Fe2MoBr",
  "functional": "GGA-PBEsol",
  "state": "relaxed",
  "e_tot_ev_per_atom": -7.0870,
  "lattice_angstrom": [[-1.4590, -0.8844, 2.2686], [-0.5983, -4.2314, -2.0345], [3.8471, 0.5722, 2.6972]],
  "species": ["Fe", "Fe", "Mo", "Br"],
  "fractional_positions": [[0.0000, 0.5000, 0.0000], [0.0000, 0.0000, 0.5000], [0.5000, 0.0000, 0.0000], [0.5000, 0.5000, 0.5000]]
}

(3)
{
  "formula": "Ba4MgHg",
  "functional": "GGA-PBEsol",
  "state": "relaxed",
  "delta_e_f_ev_per_atom": 0.337,
  "lattice_angstrom": [[-3.9495, 5.6855, 1.9454], [-2.4767, 0.5239, 6.7305], [2.7414, 4.9234, 4.4669]],
  "species": ["Hg", "Ba", "Mg", "Ba", "Ba", "Ba"],
  "fractional_positions": [[0.7500, 0.7500, 0.7500], [0.3755, 0.8736, 0.3755], [0.0000, 0.0000, 0.0000], [0.3755, 0.3755, 0.8736], [0.3755, 0.3755, 0.3755], [0.8736, 0.3755, 0.3755]]
}

(4)
{
  "formula": "BePt2Rh",
  "functional": "GGA-PBEsol",
  "state": "relaxed",
  "delta_e_f_ev_per_atom": -0.351,
  "lattice_angstrom": [[2.7343, 0.0000, 0.0000], [0.0000, 2.7343, 0.0000], [0.0000, 0.0000, 6.8120]],
  "species": ["Pt", "Be", "Pt", "Rh"],
  "fractional_positions": [[0.5000, 0.5000, 0.2577], [0.5000, 0.5000, 0.7461], [0.0000, 0.0000, 0.9524], [0.0000, 0.0000, 0.5438]]
}

(5)
{
  "formula": "ErLuB4Ru2",
  "functional": "GGA-PBEsol",
  "state": "relaxed",
  "delta_e_f_ev_per_atom": -0.702,
  "lattice_angstrom": [[-3.5354, 2.4662, 2.9553], [2.2971, -2.3817, 4.7354], [3.8672, 4.8615, 0.5692]],
  "species": ["Ru", "B", "Lu", "B", "B", "Lu", "Ru", "B", "Ru", "B", "Er", "B", "B", "Ru", "Er", "B"],
  "fractional_positions": [[0.5000, 0.6805, 0.0680], [0.1670, 0.1356, 0.7138], [0.0000, 0.9903, 0.0848], [0.8330, 0.1356, 0.7138], [0.6686, 0.8651, 0.7892], [0.0000, 0.4903, 0.9152], [0.5000, 0.1805, 0.9320], [0.8330, 0.6356, 0.2862], [0.0000, 0.8185, 0.5691], [0.3314, 0.3651, 0.2108], [0.5000, 0.5092, 0.5857], [0.1670, 0.6356, 0.2862], [0.3314, 0.8651, 0.7892], [0.0000, 0.3185, 0.4309], [0.5000, 0.0092, 0.4143], [0.6686, 0.3651, 0.2108]]
}

(6)
{
  "formula": "BeZnTe",
  "functional": "GGA-PBEsol",
  "state": "relaxed",
  "e_tot_ev_per_atom": -2.6259,
  "lattice_angstrom": [[3.4446, -0.0704, -0.3062], [-1.4082, 3.1444, -0.3062], [-1.5202, -2.2947, 6.2086]],
  "species": ["Be", "Zn", "Te"],
  "fractional_positions": [[0.0009, 0.0009, 0.0009], [0.2368, 0.2368, 0.7364], [0.7625, 0.7625, 0.2628]]
}

(7)
{
  "formula": "MgAlGa2",
  "functional": "GGA-PBEsol",
  "state": "relaxed",
  "delta_e_f_ev_per_atom": -0.028,
  "lattice_angstrom": [[-4.1747, 2.0679, -0.1680], [-3.4863, -1.5666, 2.6691], [-1.4906, 2.5391, 3.6143]],
  "species": ["Ga", "Ga", "Mg", "Al"],
  "fractional_positions": [[0.2500, 0.2500, 0.2500], [0.7500, 0.7500, 0.7500], [0.0000, 0.0000, 0.0000], [0.5000, 0.5000, 0.5000]]
}

(8)
{
  "formula": "Cs3SnRu",
  "functional": "GGA-PBEsol",
  "state": "relaxed",
  "delta_e_f_ev_per_atom": 1.348,
  "lattice_angstrom": [[-0.5160, -3.9986, 5.7308], [0.8666, -5.7387, -3.9260], [6.9340, 0.4196, 0.9171]],
  "species": ["Cs", "Cs", "Sn", "Ru", "Cs"],
  "fractional_positions": [[0.5000, 0.0000, 0.0000], [0.0000, 0.0000, 0.5000], [0.0000, 0.0000, 0.0000], [0.5000, 0.5000, 0.5000], [0.0000, 0.5000, 0.0000]]
}

(9)
{
  "formula": "AlSCl3O2",
  "functional": "GGA-PBEsol",
  "state": "relaxed",
  "e_tot_ev_per_atom": -4.9322,
  "lattice_angstrom": [[-2.1876, 5.8320, -0.9587], [-5.1343, -5.9601, 3.7480], [3.6811, -0.9575, 6.7922]],
  "species": ["Cl", "S", "Cl", "Al", "Cl", "O", "Cl", "O", "Cl", "Al", "Cl", "O", "O", "S"],
  "fractional_positions": [[0.9094, 0.2037, 0.3455], [0.5568, 0.2018, 0.1672], [0.4654, 0.7099, 0.4408], [0.7187, 0.2092, 0.8235], [0.0906, 0.7963, 0.6545], [0.4396, 0.7998, 0.0263], [0.1325, 0.3579, 0.9453], [0.6483, 0.9823, 0.8114], [0.8675, 0.6421, 0.0547], [0.2813, 0.7908, 0.1765], [0.5346, 0.2901, 0.5592], [0.3517, 0.0177, 0.1886], [0.5604, 0.2002, 0.9737], [0.4432, 0.7982, 0.8328]]
}

(10)
{
  "formula": "AlH2Rh2",
  "functional": "GGA-PBEsol",
  "state": "relaxed",
  "e_tot_ev_per_atom": -5.8548,
  "lattice_angstrom": [[-1.5507, -0.5082, 2.4567], [2.2423, -1.5760, 1.0894], [1.6689, 5.4126, 0.4027]],
  "species": ["Rh", "H", "Al", "Rh", "H"],
  "fractional_positions": [[0.3591, 0.3591, 0.7182], [0.7500, 0.2500, 0.5000], [0.0000, 0.0000, 0.0000], [0.6409, 0.6409, 0.2818], [0.2500, 0.7500, 0.5000]]
}

(11)
{
  "formula": "MgMo2Br",
  "functional": "GGA-PBEsol",
  "state": "relaxed",
  "e_tot_ev_per_atom": -6.2515,
  "lattice_angstrom": [[3.2429, 0.0719, 0.0000], [-0.3830, 4.6158, 0.0000], [0.0000, 0.0000, 5.1211]],
  "species": ["Mo", "Mg", "Mo", "Br"],
  "fractional_positions": [[0.2115, 0.3133, 0.0000], [0.5000, 0.5000, 0.5000], [0.7885, 0.6867, 0.0000], [0.0000, 0.0000, 0.5000]]
}

(12)
{
  "formula": "Al2S3",
  "functional": "GGA-PBEsol",
  "state": "relaxed",
  "e_tot_ev_per_atom": -5.3670,
  "lattice_angstrom": [[-3.8003, 5.8717, -0.5175], [-2.4297, -2.1215, -6.2277], [-8.3200, -8.6786, 10.1515]],
  "species": ["S", "S", "S", "S", "Al", "Al", "S", "S", "S", "S", "S", "Al", "S", "S", "S", "S", "S", "Al", "S", "Al", "Al", "S", "S", "Al", "Al", "S", "Al", "Al", "S", "Al", "S", "Al", "Al", "S", "S", "Al", "S", "S", "Al", "Al"],
  "fractional_positions": [[0.3744, 0.6167, 0.7488], [0.7034, 0.4632, 0.4067], [0.8667, 0.1244, 0.2488], [0.3833, 0.6256, 0.2512], [0.2932, 0.5220, 0.5863], [0.9568, 0.2280, 0.9137], [0.7327, 0.9620, 0.9239], [0.8679, 0.6256, 0.2512], [0.8756, 0.1333, 0.7512], [0.1912, 0.9620, 0.9239], [0.2120, 0.9412, 0.4239], [0.2932, 0.0643, 0.5863], [0.5466, 0.8065, 0.0933], [0.8756, 0.6179, 0.7512], [0.0565, 0.2966, 0.5933], [0.5173, 0.7880, 0.5761], [0.3744, 0.1321, 0.7488], [0.6250, 0.3750, 0.2500], [0.5368, 0.2966, 0.5933], [0.4780, 0.7068, 0.4137], [0.7720, 0.0432, 0.0863], [0.0380, 0.2673, 0.0761], [0.0380, 0.8088, 0.0761], [0.6250, 0.8750, 0.2500], [0.0796, 0.5796, 0.1591], [0.2120, 0.4827, 0.4239], [0.4204, 0.9204, 0.8409], [0.1250, 0.3750, 0.7500], [0.7034, 0.9435, 0.4067], [0.1704, 0.1704, 0.3409], [0.0588, 0.7880, 0.5761], [0.8296, 0.8296, 0.6591], [0.9568, 0.6857, 0.9137], [0.1935, 0.4534, 0.9067], [0.7132, 0.4534, 0.9067], [0.3143, 0.0432, 0.0863], [0.5466, 0.2868, 0.0933], [0.3821, 0.1244, 0.2488], [0.9357, 0.7068, 0.4137], [0.6250, 0.3750, 0.7500]]
}

no.,magnetic moment (μB per cell)
1,0.00
2,4.77
3,0.00
4,0.00
5,0.00
6,0.00
7,0.00
8,2.87
9,0.00
10,0.00
11,0.00
12,0.00